Entry 1:
Here is SnMoP2Cl after structural relaxation from Alexandria via LeMat-Bulk. Energies are from GGA-PBE.

Summary:
The value obtained for the volume is 126.9 Å³ per cell. Its total magnetic moment is 3.16 μB/f.u. The calculation puts the formation energy (no corrections) at 1189.2 meV/atom. As for the crystal system: tetragonal. The density of states at the Fermi level is 1.786 states/eV per cell. Its distance to the lowest polymorph of the same formula is 996 meV per atom.

abc: 5.049 5.049 4.976
angles: 90.00 90.00 90.00
Space group P4/mmm (No. 123)
Asymmetric unit:
Sn 0.000 0.000 0.000 x1
Mo 0.500 0.500 0.500 x1
P 0.000 0.500 0.000 x2
Cl 0.000 0.000 0.500 x1



Entry 2:
Here is SnMoP2Cl after structural relaxation from Alexandria via LeMat-Bulk. Energies are from GGA-PBE.

Summary:
The value obtained for the volume is 111.9 Å³ per cell. Its total magnetic moment is 0.00 μB/f.u. The calculation puts the formation energy (no corrections) at 193.6 meV/atom. As for the crystal system: tetragonal. The density of states at the Fermi level is 2.309 states/eV per cell. Its distance to the lowest polymorph of the same formula is 0 meV per atom.

abc: 4.681 4.681 5.107
angles: 90.00 90.00 90.00
Space group P4/mmm (No. 123)
Asymmetric unit:
Sn 0.000 0.000 0.000 x1
Mo 0.500 0.500 0.500 x1
P 0.000 0.500 0.500 x2
Cl 0.500 0.500 0.000 x1



Entry 3:
Here is TaMoP2Cl after structural relaxation from Alexandria via LeMat-Bulk. Energies are from GGA-PBE.

Summary:
The value obtained for the volume is 100.3 Å³ per cell. Its total magnetic moment is 0.00 μB/f.u. The calculation puts the formation energy (no corrections) at 1052.0 meV/atom. As for the crystal system: tetragonal. The density of states at the Fermi level is 9.587 states/eV per cell. Its distance to the lowest polymorph of the same formula is 356 meV per atom.

abc: 4.682 4.682 4.576
angles: 90.00 90.00 90.00
Space group P4/mmm (No. 123)
Asymmetric unit:
Ta 0.000 0.000 0.000 x1
Mo 0.500 0.500 0.500 x1
P 0.000 0.500 0.500 x2
Cl 0.500 0.500 0.000 x1



Entry 4:
Here is TaMoPCl2 after structural relaxation from Alexandria via LeMat-Bulk. Energies are from GGA-PBE.

Summary:
The value obtained for the volume is 108.0 Å³ per cell. Its total magnetic moment is 4.55 μB/f.u. The calculation puts the formation energy (no corrections) at 959.6 meV/atom. As for the crystal system: tetragonal. The density of states at the Fermi level is 6.380 states/eV per cell. Its distance to the lowest polymorph of the same formula is 416 meV per atom.

abc: 4.656 4.656 4.980
angles: 90.00 90.00 90.00
Space group P4/mmm (No. 123)
Asymmetric unit:
Ta 0.000 0.000 0.000 x1
Mo 0.500 0.500 0.500 x1
P 0.500 0.500 0.000 x1
Cl 0.000 0.500 0.500 x2



Entry 5:
Here is TaMoPCl2 after structural relaxation from Alexandria via LeMat-Bulk. Energies are from GGA-PBE.

Summary:
The value obtained for the volume is 114.1 Å³ per cell. Its total magnetic moment is 4.97 μB/f.u. The calculation puts the formation energy (no corrections) at 543.6 meV/atom. As for the crystal system: tetragonal. The density of states at the Fermi level is 1.954 states/eV per cell. Its distance to the lowest polymorph of the same formula is 0 meV per atom.

abc: 4.760 4.760 5.033
angles: 90.00 90.00 90.00
Space group P4/mmm (No. 123)
Asymmetric unit:
Ta 0.000 0.000 0.000 x1
Mo 0.500 0.500 0.500 x1
P 0.000 0.000 0.500 x1
Cl 0.000 0.500 0.000 x2



Entry 6:
Here is TaMoP2Cl after structural relaxation from Alexandria via LeMat-Bulk. Energies are from GGA-PBE.

Summary:
The value obtained for the volume is 111.8 Å³ per cell. Its total magnetic moment is 4.32 μB/f.u. The calculation puts the formation energy (no corrections) at 696.4 meV/atom. As for the crystal system: tetragonal. The density of states at the Fermi level is 2.238 states/eV per cell. Its distance to the lowest polymorph of the same formula is 0 meV per atom.

abc: 4.869 4.869 4.715
angles: 90.00 90.00 90.00
Space group P4/mmm (No. 123)
Asymmetric unit:
Ta 0.000 0.000 0.000 x1
Mo 0.500 0.500 0.500 x1
P 0.000 0.500 0.000 x2
Cl 0.000 0.000 0.500 x1



Entry 7:
Here is TcMoPCl2 after structural relaxation from Alexandria via LeMat-Bulk. Energies are from GGA-PBE.

Summary:
The value obtained for the volume is 112.7 Å³ per cell. Its total magnetic moment is 6.46 μB/f.u. The calculation puts the formation energy (no corrections) at 829.2 meV/atom. As for the crystal system: tetragonal. The density of states at the Fermi level is 5.297 states/eV per cell. Its distance to the lowest polymorph of the same formula is 0 meV per atom.

abc: 4.817 4.817 4.858
angles: 90.00 90.00 90.00
Space group P4/mmm (No. 123)
Asymmetric unit:
Tc 0.000 0.000 0.000 x1
Mo 0.500 0.500 0.500 x1
P 0.500 0.500 0.000 x1
Cl 0.000 0.500 0.500 x2



Entry 8:
Here is TcMoPCl2 after structural relaxation from Alexandria via LeMat-Bulk. Energies are from GGA-PBE.

Summary:
The value obtained for the volume is 110.2 Å³ per cell. Its total magnetic moment is 5.73 μB/f.u. The calculation puts the formation energy (no corrections) at 842.0 meV/atom. As for the crystal system: tetragonal. The density of states at the Fermi level is 5.342 states/eV per cell. Its distance to the lowest polymorph of the same formula is 13 meV per atom.

abc: 4.883 4.883 4.621
angles: 90.00 90.00 90.00
Space group P4/mmm (No. 123)
Asymmetric unit:
Tc 0.000 0.000 0.000 x1
Mo 0.500 0.500 0.500 x1
P 0.000 0.000 0.500 x1
Cl 0.000 0.500 0.000 x2